# 1
Tb3Pm2Mg3 | PBE | relaxed

- DFT total energy (eV/atom) = -3.5762
- space-group type = No. 71
- total magnetic moment (μB/f.u.) = 0.000

abc: 3.824 5.457 11.754
angles: 103.42 99.36 90.00
Positions (direct):
Tb: 0.622 0.622 0.245
Tb: 0.378 0.378 0.755
Tb: 0.500 0.000 0.000
Pm: 0.734 0.234 0.469
Pm: 0.266 0.766 0.531
Mg: 0.115 0.115 0.230
Mg: 0.000 0.500 0.000
Mg: 0.885 0.885 0.770

# 2
Tb12Pm3Mg | PBE | relaxed

- DFT total energy (eV/atom) = -4.4440
- space-group type = No. 123
- total magnetic moment (μB/f.u.) = 0.001

abc: 5.031 5.031 20.171
angles: 90.00 90.00 90.00
Positions (direct):
Tb: 0.500 0.500 0.000
Tb: 0.500 0.500 0.245
Tb: 0.500 0.500 0.500
Tb: 0.500 0.500 0.755
Tb: 0.500 0.000 0.122
Tb: 0.500 0.000 0.373
Tb: 0.500 0.000 0.627
Tb: 0.500 0.000 0.878
Tb: 0.000 0.500 0.122
Tb: 0.000 0.500 0.373
Tb: 0.000 0.500 0.627
Tb: 0.000 0.500 0.878
Pm: 0.000 0.000 0.247
Pm: 0.000 0.000 0.500
Pm: 0.000 0.000 0.753
Mg: 0.000 0.000 0.000

# 3
Tb7PmMg4 | PBE | relaxed

- DFT total energy (eV/atom) = -3.4684
- space-group type = No. 12
- total magnetic moment (μB/f.u.) = 0.104

abc: 5.760 9.092 8.100
angles: 68.57 69.17 71.53
Positions (direct):
Tb: 0.798 0.877 0.527
Tb: 0.202 0.123 0.473
Tb: 0.080 0.574 0.266
Tb: 0.920 0.426 0.734
Tb: 0.252 0.710 0.786
Tb: 0.500 0.000 0.000
Tb: 0.748 0.290 0.214
Pm: 0.000 0.000 0.000
Mg: 0.541 0.303 0.615
Mg: 0.459 0.697 0.385
Mg: 0.675 0.654 0.995
Mg: 0.325 0.346 0.005

# 4
TbPm2Mg | PBE | relaxed

- DFT total energy (eV/atom) = -3.8978
- space-group type = No. 225
- total magnetic moment (μB/f.u.) = 0.000

abc: 5.595 5.595 5.595
angles: 60.00 60.00 60.00
Positions (direct):
Mg: 0.500 0.500 0.500
Tb: 0.000 0.000 0.000
Pm: 0.250 0.250 0.250
Pm: 0.750 0.750 0.750

# 5
Tb2PmMg6 | PBE | relaxed

- DFT total energy (eV/atom) = -2.7036
- space-group type = No. 191
- total magnetic moment (μB/f.u.) = 0.000

abc: 3.307 9.119 9.119
angles: 59.99 90.01 90.01
Positions (direct):
Tb: 0.000 0.333 0.333
Tb: 0.000 0.667 0.667
Pm: 0.000 0.000 0.000
Mg: 0.499 0.664 0.000
Mg: 0.501 0.000 0.336
Mg: 0.501 0.336 0.000
Mg: 0.500 0.665 0.335
Mg: 0.499 0.000 0.664
Mg: 0.500 0.335 0.665

# 6
Tb7Pm12Mg | PBE | relaxed

- DFT total energy (eV/atom) = -3.8838
- space-group type = No. 204
- total magnetic moment (μB/f.u.) = 0.000

abc: 9.969 9.969 9.969
angles: 109.47 109.47 109.47
Positions (direct):
Tb: 0.500 0.500 0.000
Tb: 0.000 0.500 0.500
Tb: 0.500 0.000 0.500
Tb: 0.500 0.500 0.500
Tb: 0.000 0.000 0.500
Tb: 0.500 0.000 0.000
Tb: 0.000 0.500 0.000
Pm: 0.507 0.754 0.753
Pm: 0.001 0.754 0.247
Pm: 0.493 0.246 0.247
Pm: 0.999 0.246 0.753
Pm: 0.753 0.999 0.246
Pm: 0.753 0.507 0.754
Pm: 0.247 0.001 0.754
Pm: 0.247 0.493 0.246
Pm: 0.754 0.753 0.507
Pm: 0.246 0.247 0.493
Pm: 0.754 0.247 0.001
Pm: 0.246 0.753 0.999
Mg: 0.000 0.000 0.000

# 7
TbPm7Mg2 | PBE | relaxed

- DFT total energy (eV/atom) = -3.5770
- space-group type = No. 65
- total magnetic moment (μB/f.u.) = 0.000

abc: 5.346 9.419 9.419
angles: 124.03 90.00 90.00
Positions (direct):
Tb: 0.000 0.000 0.000
Pm: 0.000 0.788 0.212
Pm: 0.000 0.212 0.788
Pm: 0.500 0.070 0.298
Pm: 0.500 0.930 0.702
Pm: 0.500 0.298 0.070
Pm: 0.500 0.702 0.930
Pm: 0.500 0.500 0.500
Mg: 0.500 0.702 0.298
Mg: 0.500 0.298 0.702

# 8
TbPm3Mg6 | PBE | relaxed

- DFT total energy (eV/atom) = -2.9246
- space-group type = No. 11
- total magnetic moment (μB/f.u.) = 0.001

abc: 5.319 9.406 11.381
angles: 105.48 90.00 90.00
Positions (direct):
Tb: 0.250 0.950 0.602
Tb: 0.750 0.050 0.398
Pm: 0.250 0.538 0.396
Pm: 0.750 0.462 0.604
Pm: 0.250 0.351 0.792
Pm: 0.750 0.649 0.208
Pm: 0.250 0.754 0.006
Pm: 0.750 0.246 0.994
Mg: 0.250 0.440 0.098
Mg: 0.750 0.560 0.902
Mg: 0.250 0.145 0.193
Mg: 0.750 0.855 0.807
Mg: 0.250 0.667 0.708
Mg: 0.750 0.333 0.292
Mg: 0.250 0.238 0.488
Mg: 0.750 0.762 0.512
Mg: 0.250 0.861 0.305
Mg: 0.750 0.139 0.695
Mg: 0.250 0.046 0.898
Mg: 0.750 0.954 0.102

> The lowest DFT total energy belongs to which entry?

Tb12Pm3Mg

> What is the DFT total energy in the eighth record?

-2.9246 eV/atom